1.
Crystalline Bi3O4F at its relaxed geometry, computed with PBE-GGA.

Computed properties:
ΔE_f (raw) (eV per atom): -1.437
Calculated volume (Å³/cell): 306
Distance to the lowest polymorph of the same formula (meV/atom): 3

Cell: 9.1028 5.8965 5.7856 Å, 90.00 100.27 90.00°
Fractional positions:
Bi 0.0000 0.1937 0.2500
Bi 0.0000 0.8063 0.7500
Bi 0.3052 0.3020 0.8712
Bi 0.3052 0.6980 0.3712
Bi 0.6948 0.3020 0.6288
Bi 0.6948 0.6980 0.1288
O 0.1380 0.0774 0.9632
O 0.1380 0.9226 0.4632
O 0.1982 0.4362 0.5324
O 0.1982 0.5638 0.0324
O 0.8018 0.4362 0.9676
O 0.8018 0.5638 0.4676
O 0.8620 0.0774 0.5368
O 0.8620 0.9226 0.0368
F 0.5000 0.3824 0.2500
F 0.5000 0.6176 0.7500


2.
Crystalline Th3Ni8Hg at its relaxed geometry, computed with PBE-GGA.

Computed properties:
Calculated volume (Å³/cell): 193
ΔE_f (eV per atom): -0.37

Cell: 8.9739 8.9739 8.9739 Å, 33.19 33.19 33.19°
Fractional positions:
Th 0.0000 0.0000 0.0000
Th 0.1285 0.1285 0.1285
Th 0.6123 0.6123 0.6123
Ni 0.0557 0.5597 0.5597
Ni 0.0579 0.0579 0.5650
Ni 0.0579 0.5650 0.0579
Ni 0.3099 0.3099 0.3099
Ni 0.5597 0.0557 0.5597
Ni 0.5597 0.5597 0.0557
Ni 0.5650 0.0579 0.0579
Ni 0.8100 0.8100 0.8100
Hg 0.4908 0.4908 0.4908


3.
Crystalline LaFeAsSe2 at its relaxed geometry, computed with PBE-GGA.

Computed properties:
ΔE_f (raw) (eV per atom): 0.575
Calculated volume (Å³/cell): 185
Distance to the lowest polymorph of the same formula (meV/atom): 1253

Cell: 5.6679 5.6679 5.7540 Å, 90.00 90.00 90.00°
Fractional positions:
La 0.0000 0.0000 0.0000
Fe 0.5000 0.5000 0.5000
As 0.0000 0.0000 0.5000
Se 0.0000 0.5000 0.0000
Se 0.5000 0.0000 0.0000


4.
Crystalline TeP at its relaxed geometry, computed with PBE-GGA.

Computed properties:
ΔE_f (raw) (eV per atom): 0.469
Calculated volume (Å³/cell): 116

Cell: 5.0629 5.0629 4.5263 Å, 90.00 90.00 90.00°
Fractional positions:
Te 0.2500 0.7500 0.0000
Te 0.7500 0.2500 0.0000
P 0.2500 0.2500 0.2224
P 0.7500 0.7500 0.7776


5.
Crystalline YCu2Re at its relaxed geometry, computed with PBE-GGA.

Computed properties:
Calculated volume (Å³/cell): 65
Distance to the lowest polymorph of the same formula (meV/atom): 53
ΔE_f (eV per atom): 0.32

Cell: 5.1767 5.1767 4.8527 Å, 110.38 110.38 32.31°
Fractional positions:
Y 0.0000 0.0000 0.0000
Cu 0.2353 0.2353 0.8007
Cu 0.5218 0.5218 0.5004
Re 0.7763 0.7763 0.3595


6.
Crystalline Dy8Te4Au3Se at its relaxed geometry, computed with PBE-GGA.

Computed properties:
ΔE_f (raw) (eV per atom): -1.172
Calculated volume (Å³/cell): 443

Cell: 8.6995 8.6995 8.6995 Å, 57.85 57.85 57.85°
Fractional positions:
Dy 0.2411 0.2411 0.2411
Dy 0.2407 0.7440 0.7440
Dy 0.2560 0.2560 0.7593
Dy 0.2560 0.7593 0.2560
Dy 0.7440 0.2407 0.7440
Dy 0.7440 0.7440 0.2407
Dy 0.7593 0.2560 0.2560
Dy 0.7589 0.7589 0.7589
Te 0.0000 0.0000 0.0000
Te 0.0000 0.5000 0.5000
Te 0.5000 0.0000 0.5000
Te 0.5000 0.5000 0.0000
Au 0.0000 0.0000 0.5000
Au 0.0000 0.5000 0.0000
Au 0.5000 0.0000 0.0000
Se 0.5000 0.5000 0.5000


7.
Crystalline Mo2SeCl at its relaxed geometry, computed with PBE-GGA.

Computed properties:
ΔE_f (raw) (eV per atom): 0.612
Calculated volume (Å³/cell): 70
Distance to the lowest polymorph of the same formula (meV/atom): 805

Cell: 2.9651 4.1526 5.7255 Å, 90.00 90.00 90.00°
Fractional positions:
Mo 0.0000 0.0000 0.0000
Mo 0.5000 0.0000 0.5000
Se 0.0000 0.5000 0.5000
Cl 0.5000 0.5000 0.0000


8.
Crystalline Ho3Al4Au4 at its relaxed geometry, computed with PBE-GGA.

Computed properties:
Calculated volume (Å³/cell): 222
ΔE_f (eV per atom): -0.76

Cell: 8.3819 8.3819 8.3819 Å, 150.58 129.36 59.66°
Fractional positions:
Ho 0.0000 0.0000 0.0000
Ho 0.3799 0.8799 0.5000
Ho 0.6201 0.1201 0.5000
Al 0.0200 0.3265 0.6935
Al 0.3670 0.6735 0.6935
Al 0.6330 0.3265 0.3065
Al 0.9800 0.6735 0.3065
Au 0.2196 0.2196 0.0000
Au 0.2958 0.5000 0.7958
Au 0.7042 0.5000 0.2042
Au 0.7804 0.7804 0.0000


9.
Crystalline ZrCu2Te at its relaxed geometry, computed with PBE-GGA.

Computed properties:
ΔE_f (raw) (eV per atom): -0.106
Calculated volume (Å³/cell): 75

Cell: 3.5309 3.5302 5.9824 Å, 90.00 90.23 90.00°
Fractional positions:
Zr 0.0000 0.0000 0.0000
Cu 0.4975 0.5000 0.7054
Cu 0.9962 0.0000 0.5548
Te 0.5019 0.5000 0.2495


10.
Crystalline LiGa3Ag5 at its relaxed geometry, computed with PBE-GGA.

Computed properties:
Calculated volume (Å³/cell): 355
Distance to the lowest polymorph of the same formula (meV/atom): 148
ΔE_f (eV per atom): 0.09

Cell: 5.8653 5.8653 10.5930 Å, 96.12 96.12 79.36°
Fractional positions:
Li 0.0348 0.0348 0.2547
Li 0.9652 0.9652 0.7453
Ga 0.0000 0.0000 0.0000
Ga 0.0000 0.0000 0.5000
Ga 0.2497 0.2497 0.8902
Ga 0.2720 0.2720 0.4546
Ga 0.7280 0.7280 0.5454
Ga 0.7503 0.7503 0.1098
Ag 0.0139 0.4112 0.6773
Ag 0.2793 0.2793 0.1447
Ag 0.3242 0.6758 0.0000
Ag 0.4112 0.0139 0.6773
Ag 0.4842 0.4842 0.6553
Ag 0.5158 0.5158 0.3447
Ag 0.5888 0.9861 0.3227
Ag 0.6758 0.3242 0.0000
Ag 0.7207 0.7207 0.8553
Ag 0.9861 0.5888 0.3227


11.
Crystalline CsMg2TlPt at its relaxed geometry, computed with PBE-GGA.

Computed properties:
Calculated volume (Å³/cell): 152
ΔE_f (eV per atom): -0.23

Cell: 5.3062 5.3062 5.4009 Å, 90.00 90.00 90.00°
Fractional positions:
Cs 0.0000 0.0000 0.0000
Mg 0.0000 0.5000 0.5000
Mg 0.5000 0.0000 0.5000
Tl 0.5000 0.5000 0.0000
Pt 0.5000 0.5000 0.5000


12.
Crystalline SrLiTc3 at its relaxed geometry, computed with PBE-GGA.

Computed properties:
Calculated volume (Å³/cell): 116
Distance to the lowest polymorph of the same formula (meV/atom): 1333
ΔE_f (eV per atom): 2.80

Cell: 4.8805 4.8805 4.8805 Å, 90.00 90.00 90.00°
Fractional positions:
Sr 0.0000 0.0000 0.0000
Li 0.5000 0.5000 0.5000
Tc 0.0000 0.0000 0.5000
Tc 0.0000 0.5000 0.0000
Tc 0.5000 0.0000 0.0000


13.
Crystalline TcTe2PI at its relaxed geometry, computed with PBE-GGA.

Computed properties:
ΔE_f (raw) (eV per atom): 1.099
Calculated volume (Å³/cell): 149
Distance to the lowest polymorph of the same formula (meV/atom): 202

Cell: 5.3257 5.3257 5.2556 Å, 90.00 90.00 90.00°
Fractional positions:
Tc 0.0000 0.0000 0.0000
Te 0.0000 0.5000 0.5000
Te 0.5000 0.0000 0.5000
P 0.5000 0.5000 0.5000
I 0.5000 0.5000 0.0000


14.
Crystalline LiBeW2 at its relaxed geometry, computed with PBE-GGA.

Computed properties:
Calculated volume (Å³/cell): 55
ΔE_f (eV per atom): 0.35

Cell: 2.6693 2.6693 7.6825 Å, 90.00 90.00 90.00°
Fractional positions:
Li 0.0000 0.0000 0.0000
Be 0.5000 0.5000 0.7985
W 0.0000 0.0000 0.5800
W 0.5000 0.5000 0.2761


15.
Crystalline ErTmSnHg at its relaxed geometry, computed with PBE-GGA.

Computed properties:
Calculated volume (Å³/cell): 102
Distance to the lowest polymorph of the same formula (meV/atom): 0
ΔE_f (eV per atom): -0.53

Cell: 3.7689 3.7689 7.1980 Å, 90.00 90.00 90.00°
Fractional positions:
Er 0.0000 0.0000 0.0000
Tm 0.0000 0.0000 0.5068
Sn 0.5000 0.5000 0.2545
Hg 0.5000 0.5000 0.7507


16.
Crystalline PrY3Co at its relaxed geometry, computed with PBE-GGA.

Computed properties:
Calculated volume (Å³/cell): 284
Distance to the lowest polymorph of the same formula (meV/atom): 0
ΔE_f (eV per atom): -0.08

Cell: 6.9113 6.9113 11.3133 Å, 90.82 90.82 31.69°
Fractional positions:
Pr 0.1686 0.1686 0.0919
Pr 0.8314 0.8314 0.9081
Y 0.0621 0.0621 0.3718
Y 0.2123 0.2123 0.6354
Y 0.4373 0.4373 0.1554
Y 0.5627 0.5627 0.8446
Y 0.7877 0.7877 0.3646
Y 0.9379 0.9379 0.6282
Co 0.4181 0.4181 0.4429
Co 0.5819 0.5819 0.5571